Y2CoW after structural relaxation. Source: Alexandria via LeMat-Bulk, functional GGA-PBE.

Calculated values
The magnetization comes out at 0.0 μB per formula unit. The volume comes out at 21.09 Å³ per atom. The formation energy is 789 meV/atom. The value obtained for the relative energy among the computed polymorphs is 645 meV per atom.

The structure in POSCAR format:
```
Y2CoW
1.0
7.6931 0.0000 0.0000
0.0000 7.6931 0.0000
0.0000 0.0000 5.7005
Y Co W
8 4 4
Direct
0.2053 0.2500 0.1250
0.2500 0.7053 0.3750
0.2500 0.7947 0.8750
0.2947 0.2500 0.6250
0.7053 0.7500 0.6250
0.7500 0.2053 0.8750
0.7500 0.2947 0.3750
0.7947 0.7500 0.1250
0.0000 0.0000 0.0000
0.0000 0.5000 0.2500
0.5000 0.0000 0.7500
0.5000 0.5000 0.5000
0.0000 0.0000 0.5000
0.0000 0.5000 0.7500
0.5000 0.0000 0.2500
0.5000 0.5000 0.0000
```